Record 1
Compound: MgCr4Cu3O12
Source: Alexandria via LeMat-Bulk
Functional: GGA-PBEsol
Structure: relaxed

abc: 6.180 6.180 6.180
angles: 109.47 109.47 109.47
Last column: magnetic moment on the atom in μB.
Atoms (fractional coordinates):
1 Cr 0.000 0.500 0.000  1.68
2 Cr 0.000 0.000 0.500  1.68
3 Cr 0.500 0.000 0.000  1.68
4 Cr 0.500 0.500 0.500  1.68
5 O 0.121 0.300 0.820  -0.07
6 O 0.820 0.121 0.300  -0.07
7 O 0.180 0.879 0.700  -0.07
8 O 0.879 0.700 0.180  -0.07
9 O 0.700 0.180 0.879  -0.07
10 O 0.520 0.700 0.820  -0.07
11 O 0.300 0.820 0.121  -0.07
12 O 0.700 0.820 0.520  -0.07
13 O 0.820 0.520 0.700  -0.07
14 O 0.180 0.480 0.300  -0.07
15 O 0.300 0.180 0.480  -0.07
16 O 0.480 0.300 0.180  -0.07
17 Mg 0.000 0.000 0.000  0.00
18 Cu 0.000 0.500 0.500  -0.36
19 Cu 0.500 0.000 0.500  -0.36
20 Cu 0.500 0.500 0.000  -0.36

Computed properties:
DFT total energy (Ry per atom): -0.5499

=====

Record 2
Compound: Li2NbP5O15
Source: Alexandria via LeMat-Bulk
Functional: GGA-PBEsol
Structure: relaxed

abc: 5.280 8.201 14.548
angles: 90.00 90.00 100.34
Last column: magnetic moment on the atom in μB.
Atoms (fractional coordinates):
1 O 0.544 0.866 0.750  0.00
2 O 0.528 0.253 0.980  0.01
3 O 0.190 0.481 0.909  0.00
4 O 0.190 0.481 0.591  0.00
5 O 0.065 0.895 0.750  0.00
6 O 0.810 0.519 0.091  0.00
7 O 0.386 0.102 0.665  0.00
8 O 0.229 0.410 0.383  0.01
9 O 0.953 0.475 0.250  0.00
10 O 0.771 0.590 0.883  0.01
11 O 0.456 0.134 0.250  0.00
12 O 0.528 0.253 0.520  0.01
13 O 0.809 0.293 0.839  0.00
14 O 0.771 0.590 0.617  0.01
15 O 0.935 0.105 0.250  0.00
16 O 0.765 0.021 0.576  0.00
17 O 0.472 0.747 0.020  0.01
18 O 0.765 0.021 0.924  0.00
19 O 0.614 0.898 0.335  0.00
20 O 0.386 0.102 0.835  0.00
21 O 0.810 0.519 0.409  0.00
22 O 0.047 0.525 0.750  0.00
23 O 0.614 0.898 0.165  0.00
24 O 0.191 0.707 0.339  0.00
25 O 0.235 0.979 0.076  0.00
26 O 0.229 0.410 0.117  0.01
27 O 0.809 0.293 0.661  0.00
28 O 0.235 0.979 0.424  0.00
29 O 0.191 0.707 0.161  0.00
30 O 0.472 0.747 0.480  0.01
31 P 0.953 0.478 0.648  0.01
32 P 0.047 0.522 0.148  0.01
33 P 0.627 0.157 0.903  0.01
34 P 0.373 0.843 0.097  0.01
35 P 0.953 0.478 0.852  0.01
36 P 0.627 0.157 0.597  0.01
37 P 0.047 0.522 0.352  0.01
38 P 0.343 0.973 0.750  0.00
39 P 0.373 0.843 0.403  0.01
40 P 0.657 0.027 0.250  0.00
41 Li 0.796 0.839 0.654  0.00
42 Li 0.204 0.161 0.154  0.00
43 Li 0.204 0.161 0.346  0.00
44 Li 0.796 0.839 0.846  0.00
45 Nb 0.500 0.500 0.000  1.64
46 Nb 0.500 0.500 0.500  1.64

Computed properties:
DFT total energy (Ry per atom): -0.5502

=====

Record 3
Compound: BeCrRh2
Source: Alexandria via LeMat-Bulk
Functional: GGA-PBEsol
Structure: relaxed

abc: 2.639 2.639 7.936
angles: 80.43 80.43 60.00
Atoms (fractional coordinates):
1 Rh 0.246 0.246 0.263
2 Rh 0.754 0.754 0.737
3 Be 0.500 0.500 0.500
4 Cr 0.000 0.000 0.000

Computed properties:
Calculated formation energy (kJ/mol of formula units): -50

=====

Record 4
Compound: SiAs3Cl
Source: Alexandria via LeMat-Bulk
Functional: GGA-PBEsol
Structure: relaxed

abc: 4.799 4.799 4.799
angles: 90.00 90.00 90.00
Atoms (fractional coordinates):
1 As 0.000 0.500 0.000
2 As 0.500 0.000 0.000
3 As 0.000 0.000 0.500
4 Cl 0.000 0.000 0.000
5 Si 0.500 0.500 0.500

Computed properties:
DFT total energy (Ry per atom): -0.2503

=====

Record 5
Compound: AlZnSi2
Source: Alexandria via LeMat-Bulk
Functional: GGA-PBEsol
Structure: relaxed

abc: 2.736 2.736 9.252
angles: 81.50 81.50 60.00
Atoms (fractional coordinates):
1 Al 0.251 0.251 0.247
2 Si 0.002 0.002 0.995
3 Si 0.748 0.748 0.755
4 Zn 0.499 0.499 0.503

Computed properties:
DFT total energy (Ry per atom): -0.2990

=====

Record 6
Compound: Cr2H
Source: Alexandria via LeMat-Bulk
Functional: GGA-PBEsol
Structure: relaxed

abc: 5.059 5.059 5.059
angles: 100.61 114.07 114.07
Atoms (fractional coordinates):
1 Cr 0.259 0.169 0.910
2 Cr 0.259 0.090 0.349
3 Cr 0.759 0.099 0.340
4 Cr 0.741 0.651 0.910
5 Cr 0.759 0.660 0.419
6 Cr 0.741 0.090 0.831
7 Cr 0.241 0.581 0.340
8 Cr 0.241 0.660 0.901
9 H 0.750 0.375 0.125
10 H 0.750 0.375 0.625
11 H 0.250 0.875 0.625
12 H 0.250 0.375 0.625

Computed properties:
DFT total energy (Ry per atom): -0.5800

=====

Record 7
Compound: CaYRh2
Source: Alexandria via LeMat-Bulk
Functional: GGA-PBEsol
Structure: relaxed

abc: 4.746 4.746 4.746
angles: 60.00 60.00 60.00
Atoms (fractional coordinates):
1 Rh 0.750 0.750 0.750
2 Rh 0.250 0.250 0.250
3 Y 0.500 0.500 0.500
4 Ca 0.000 0.000 0.000

Computed properties:
Calculated formation energy (kJ/mol of formula units): -206

=====

Record 8
Compound: Li3Cd2
Source: Alexandria via LeMat-Bulk
Functional: GGA-PBEsol
Structure: relaxed

abc: 5.171 5.466 7.470
angles: 80.58 69.75 61.77
Atoms (fractional coordinates):
1 Li 0.519 0.943 0.204
2 Li 0.473 0.443 0.296
3 Li 0.212 0.557 0.704
4 Li 0.077 0.000 0.000
5 Li 0.666 0.057 0.796
6 Li 0.827 0.500 0.500
7 Cd 0.652 0.535 0.899
8 Cd 0.086 0.465 0.101
9 Cd 0.301 0.035 0.601
10 Cd 0.937 0.965 0.399

Computed properties:
Calculated formation energy (kJ/mol of formula units): -107

=====

Record 9
Compound: BaMnSe2
Source: Alexandria via LeMat-Bulk
Functional: GGA-PBEsol
Structure: relaxed

abc: 5.160 5.160 5.160
angles: 60.00 60.00 60.00
Last column: magnetic moment on the atom in μB.
Atoms (fractional coordinates):
1 Se 0.750 0.750 0.750  0.12
2 Se 0.000 0.000 0.000  0.03
3 Ba 0.500 0.500 0.500  0.05
4 Mn 0.250 0.250 0.250  4.25

Computed properties:
DFT total energy (Ry per atom): -0.3691

=====

Record 10
Compound: La2TlSi
Source: Alexandria via LeMat-Bulk
Functional: GGA-PBEsol
Structure: relaxed

abc: 3.894 3.894 7.063
angles: 90.00 90.03 90.00
Atoms (fractional coordinates):
1 La 0.999 0.000 0.214
2 La 0.001 0.000 0.786
3 Si 0.500 0.500 0.000
4 Tl 0.500 0.500 0.500

Computed properties:
DFT total energy (Ry per atom): -0.3898

=====

Record 11
Compound: NaHfPCl2
Source: Alexandria via LeMat-Bulk
Functional: GGA-PBEsol
Structure: relaxed

abc: 5.003 4.970 4.970
angles: 90.00 90.00 90.00
Atoms (fractional coordinates):
1 P 0.500 0.000 0.000
2 Na 0.500 0.500 0.500
3 Hf 0.000 0.000 0.000
4 Cl 0.000 0.500 0.000
5 Cl 0.000 0.000 0.500

Computed properties:
DFT total energy (Ry per atom): -0.3935

=====

Record 12
Compound: PbBr2
Source: Alexandria via LeMat-Bulk
Functional: GGA-PBEsol
Structure: relaxed

abc: 3.900 4.487 12.160
angles: 90.00 99.23 90.00
Atoms (fractional coordinates):
1 Pb 0.891 0.750 0.782
2 Pb 0.109 0.250 0.218
3 Br 0.695 0.250 0.391
4 Br 0.435 0.250 0.870
5 Br 0.565 0.750 0.130
6 Br 0.305 0.750 0.609

Computed properties:
DFT total energy (Ry per atom): -0.2463

=====

Record 13
Compound: Sr2MnIr
Source: Alexandria via LeMat-Bulk
Functional: GGA-PBEsol
Structure: relaxed

abc: 5.026 5.015 5.026
angles: 120.07 90.00 120.07
Last column: magnetic moment on the atom in μB.
Atoms (fractional coordinates):
1 Ir 0.500 0.000 0.500  0.25
2 Sr 0.000 0.000 0.000  -0.02
3 Sr 0.750 0.500 0.250  -0.05
4 Mn 0.250 0.500 0.750  3.90

Computed properties:
Calculated formation energy (kJ/mol of formula units): 197

=====

Record 14
Compound: BaCo2Pb
Source: Alexandria via LeMat-Bulk
Functional: GGA-PBEsol
Structure: relaxed

abc: 4.816 4.816 4.816
angles: 60.00 60.00 60.00
Last column: magnetic moment on the atom in μB.
Atoms (fractional coordinates):
1 Co 0.750 0.750 0.750  0.96
2 Co 0.250 0.250 0.250  0.96
3 Ba 0.500 0.500 0.500  -0.07
4 Pb 0.000 0.000 0.000  -0.04

Computed properties:
Calculated formation energy (kJ/mol of formula units): 264

=====

Record 15
Compound: Cd2CuNi
Source: Alexandria via LeMat-Bulk
Functional: GGA-PBEsol
Structure: relaxed

abc: 3.063 3.070 6.337
angles: 90.00 90.00 90.00
Atoms (fractional coordinates):
1 Cd 0.000 0.000 0.255
2 Cd 0.000 0.000 0.745
3 Ni 0.500 0.500 0.500
4 Cu 0.500 0.500 0.000

Computed properties:
Calculated formation energy (kJ/mol of formula units): 20

=====

Record 16
Compound: Sr3Li
Source: Alexandria via LeMat-Bulk
Functional: GGA-PBEsol
Structure: relaxed

abc: 4.118 4.118 12.388
angles: 90.00 90.00 120.00
Atoms (fractional coordinates):
1 Sr 0.333 0.667 0.779
2 Sr 0.333 0.667 0.221
3 Sr 0.000 0.000 0.500
4 Li 0.000 0.000 0.000

Computed properties:
Calculated formation energy (kJ/mol of formula units): 27

=====

Record 17
Compound: ScBe2
Source: Alexandria via LeMat-Bulk
Functional: GGA-PBEsol
Structure: relaxed

abc: 4.745 4.745 4.745
angles: 60.00 60.00 60.00
Atoms (fractional coordinates):
1 Be 0.125 0.125 0.125
2 Be 0.125 0.125 0.625
3 Be 0.625 0.125 0.125
4 Be 0.125 0.625 0.125
5 Sc 0.500 0.500 0.500
6 Sc 0.750 0.750 0.750

Computed properties:
Calculated formation energy (kJ/mol of formula units): -24

=====

Record 18
Compound: ScTa2H
Source: Alexandria via LeMat-Bulk
Functional: GGA-PBEsol
Structure: relaxed

abc: 5.745 5.745 5.745
angles: 60.00 60.00 60.00
Atoms (fractional coordinates):
1 H 0.500 0.500 0.500
2 H 0.750 0.750 0.750
3 Ta 0.625 0.125 0.625
4 Ta 0.125 0.625 0.625
5 Ta 0.625 0.625 0.125
6 Ta 0.625 0.625 0.625
7 Sc 0.250 0.250 0.250
8 Sc 0.000 0.000 0.000

Computed properties:
DFT total energy (Ry per atom): -0.6283

=====

Record 19
Compound: TaCoW2
Source: Alexandria via LeMat-Bulk
Functional: GGA-PBEsol
Structure: relaxed

abc: 2.675 5.002 5.002
angles: 115.94 90.00 90.00
Atoms (fractional coordinates):
1 W 0.000 0.000 0.500
2 W 0.000 0.500 0.000
3 Ta 0.500 0.500 0.500
4 Co 0.500 0.000 0.000

Computed properties:
Calculated formation energy (kJ/mol of formula units): 134

=====

Record 20
Compound: RbSrN2O
Source: Alexandria via LeMat-Bulk
Functional: GGA-PBEsol
Structure: relaxed

abc: 4.601 5.013 5.013
angles: 90.00 90.00 90.00
Last column: magnetic moment on the atom in μB.
Atoms (fractional coordinates):
1 Sr 0.000 0.000 0.000  0.06
2 N 0.000 0.500 0.000  1.38
3 N 0.000 0.000 0.500  1.38
4 O 0.500 0.000 0.000  0.59
5 Rb 0.500 0.500 0.500  0.01

Computed properties:
DFT total energy (Ry per atom): -0.3237

=====

Results for density of states at the Fermi level: 10.0 1.6 3.6 4.9 1.6 2.8 1.6 1.8 1.2 2.6 0.8 0.0 3.2 8.7 1.9 3.8 1.6 6.9 4.8 2.0 (in states/eV/f.u., following the order of the records).